Entry 1:
LiH6IO7: relaxed, PBEsol.

```
LiH6IO7
1.0
5.609 0.000 0.000
-2.321 5.177 0.000
-0.562 -2.666 9.092
Li H I O
2 12 2 14
direct
0.250 0.227 0.013
0.750 0.773 0.987
0.137 0.925 0.415
0.151 0.851 0.146
0.203 0.567 0.287
0.212 0.751 0.985
0.318 0.937 0.728
0.466 0.709 0.562
0.534 0.291 0.438
0.682 0.063 0.272
0.788 0.249 0.015
0.797 0.433 0.713
0.849 0.149 0.854
0.863 0.075 0.585
0.334 0.384 0.714
0.666 0.616 0.286
0.053 0.765 0.320
0.138 0.869 0.045
0.284 0.440 0.246
0.319 0.103 0.799
0.331 0.182 0.530
0.334 0.670 0.636
0.342 0.569 0.899
0.658 0.431 0.101
0.666 0.330 0.364
0.669 0.818 0.470
0.681 0.897 0.201
0.716 0.560 0.754
0.862 0.131 0.955
0.947 0.235 0.680
```

---

Entry 2:
Li2HIO: relaxed, PBEsol.

```
Li2HIO
1.0
10.359 0.000 0.000
0.000 5.547 0.000
0.000 0.000 6.460
Li H I O
8 4 4 4
direct
0.108 0.001 0.066
0.108 0.499 0.066
0.392 0.501 0.566
0.392 0.999 0.566
0.608 0.001 0.434
0.608 0.499 0.434
0.892 0.501 0.934
0.892 0.999 0.934
0.054 0.750 0.773
0.446 0.250 0.273
0.554 0.750 0.727
0.946 0.250 0.227
0.174 0.750 0.428
0.326 0.250 0.928
0.674 0.750 0.072
0.826 0.250 0.572
0.020 0.750 0.916
0.480 0.250 0.416
0.520 0.750 0.584
0.980 0.250 0.084
```

---

Entry 3:
Li2HIO: relaxed, PBEsol.

```
Li2HIO
1.0
5.212 0.000 0.000
0.000 5.212 0.000
0.000 0.000 4.060
Li H I O
2 1 1 1
direct
0.000 0.500 0.000
0.500 0.000 0.000
0.000 0.000 0.500
0.500 0.500 0.000
0.500 0.500 0.500
```

---

Entry 4:
LiSb2HI: relaxed, PBEsol.

```
LiSb2HI
1.0
4.909 0.000 0.000
0.000 4.909 0.000
0.000 0.000 5.390
Li Sb H I
1 2 1 1
direct
0.000 0.000 0.000
0.000 0.500 0.000
0.500 0.000 0.000
0.500 0.500 0.500
0.000 0.000 0.500
```

---

Entry 5:
LiSb2HI: relaxed, PBEsol.

```
LiSb2HI
1.0
4.248 0.000 0.000
0.000 4.248 0.000
0.000 0.000 7.256
Li Sb H I
1 2 1 1
direct
0.000 0.000 0.000
0.000 0.500 0.500
0.500 0.000 0.500
0.500 0.500 0.500
0.500 0.500 0.000
```

---

Entry 6:
MgH18I2O9: relaxed, PBEsol.

```
MgH18I2O9
1.0
14.331 0.000 0.000
0.000 6.507 0.000
-9.129 0.000 13.548
Mg H I O
4 72 8 36
direct
0.250 0.235 0.125
0.250 0.265 0.625
0.750 0.735 0.375
0.750 0.765 0.875
0.018 0.217 0.965
0.018 0.283 0.465
0.037 0.242 0.070
0.037 0.258 0.570
0.068 0.744 0.698
0.068 0.756 0.198
0.134 0.586 0.676
0.134 0.914 0.176
0.179 0.608 0.160
0.179 0.892 0.660
0.181 0.055 0.850
0.181 0.445 0.350
0.189 0.599 0.510
0.189 0.901 0.010
0.199 0.019 0.470
0.199 0.481 0.970
0.234 0.194 0.284
0.234 0.306 0.784
0.264 0.212 0.465
0.264 0.288 0.965
0.302 0.501 0.785
0.302 0.999 0.285
0.309 0.050 0.890
0.309 0.450 0.390
0.309 0.571 0.237
0.309 0.929 0.737
0.320 0.633 0.588
0.320 0.867 0.088
0.368 0.565 0.074
0.368 0.935 0.574
0.431 0.726 0.050
0.431 0.774 0.550
0.464 0.235 0.181
0.464 0.265 0.681
0.481 0.214 0.285
0.481 0.286 0.785
0.519 0.714 0.215
0.519 0.786 0.715
0.536 0.735 0.319
0.536 0.765 0.819
0.569 0.226 0.450
0.569 0.274 0.950
0.632 0.065 0.426
0.632 0.435 0.926
0.680 0.133 0.912
0.680 0.367 0.412
0.691 0.071 0.263
0.691 0.429 0.763
0.691 0.550 0.610
0.691 0.950 0.110
0.698 0.001 0.715
0.698 0.499 0.215
0.736 0.712 0.035
0.736 0.788 0.535
0.766 0.694 0.216
0.766 0.806 0.716
0.801 0.519 0.030
0.801 0.981 0.530
0.811 0.099 0.990
0.811 0.401 0.490
0.819 0.555 0.650
0.819 0.945 0.150
0.821 0.108 0.340
0.821 0.392 0.840
0.866 0.086 0.824
0.866 0.414 0.324
0.932 0.244 0.802
0.932 0.256 0.302
0.963 0.742 0.430
0.963 0.758 0.930
0.982 0.717 0.535
0.982 0.783 0.035
0.065 0.736 0.849
0.065 0.764 0.349
0.433 0.733 0.400
0.433 0.767 0.900
0.567 0.233 0.100
0.567 0.267 0.600
0.935 0.236 0.651
0.935 0.264 0.151
0.078 0.228 0.038
0.078 0.272 0.538
0.089 0.716 0.651
0.089 0.784 0.151
0.241 0.096 0.239
0.241 0.404 0.739
0.244 0.518 0.175
0.244 0.982 0.675
0.246 0.147 0.872
0.246 0.353 0.372
0.255 0.545 0.573
0.255 0.955 0.073
0.261 0.118 0.513
0.261 0.382 0.013
0.412 0.696 0.099
0.412 0.804 0.599
0.423 0.239 0.213
0.423 0.261 0.713
0.577 0.739 0.287
0.577 0.761 0.787
0.588 0.196 0.401
0.588 0.304 0.901
0.739 0.618 0.987
0.739 0.882 0.487
0.745 0.045 0.927
0.745 0.455 0.427
0.754 0.647 0.628
0.754 0.853 0.128
0.756 0.018 0.325
0.756 0.482 0.825
0.759 0.596 0.261
0.759 0.904 0.761
0.911 0.216 0.849
0.911 0.284 0.349
0.922 0.728 0.462
0.922 0.772 0.962
```

---

Entry 7:
MgH8I2O10: relaxed, PBEsol.

```
MgH8I2O10
1.0
8.274 0.000 0.000
0.000 6.323 0.000
-1.328 0.000 8.209
Mg H I O
2 16 4 20
direct
0.000 0.000 0.000
0.000 0.500 0.500
0.009 0.117 0.315
0.009 0.383 0.815
0.162 0.502 0.257
0.162 0.998 0.757
0.272 0.610 0.727
0.272 0.890 0.227
0.281 0.719 0.552
0.281 0.781 0.052
0.719 0.219 0.948
0.719 0.281 0.448
0.728 0.110 0.773
0.728 0.390 0.273
0.838 0.002 0.243
0.838 0.498 0.743
0.991 0.617 0.185
0.991 0.883 0.685
0.340 0.185 0.529
0.340 0.315 0.029
0.660 0.685 0.971
0.660 0.815 0.471
0.068 0.582 0.288
0.068 0.918 0.788
0.118 0.209 0.478
0.118 0.291 0.978
0.240 0.593 0.607
0.240 0.907 0.107
0.348 0.584 0.941
0.348 0.916 0.441
0.349 0.116 0.743
0.349 0.384 0.243
0.651 0.616 0.757
0.651 0.884 0.257
0.652 0.084 0.559
0.652 0.416 0.059
0.760 0.093 0.893
0.760 0.407 0.393
0.882 0.709 0.022
0.882 0.791 0.522
0.932 0.082 0.212
0.932 0.418 0.712
```

---

Entry 8:
MgH16I2O8: relaxed, PBEsol.

```
MgH16I2O8
1.0
4.135 -7.881 0.000
4.135 7.881 0.000
0.000 0.000 9.577
Mg H I O
2 32 4 16
direct
0.000 0.000 0.000
0.500 0.500 0.500
0.006 0.185 0.784
0.025 0.413 0.671
0.087 0.475 0.829
0.128 0.872 0.804
0.129 0.226 0.476
0.174 0.826 0.951
0.185 0.006 0.216
0.226 0.129 0.524
0.274 0.371 0.024
0.315 0.494 0.716
0.326 0.674 0.451
0.371 0.274 0.976
0.372 0.628 0.304
0.413 0.025 0.329
0.475 0.087 0.171
0.494 0.315 0.284
0.506 0.685 0.716
0.525 0.913 0.829
0.587 0.975 0.671
0.628 0.372 0.696
0.629 0.726 0.024
0.674 0.326 0.549
0.685 0.506 0.284
0.726 0.629 0.976
0.774 0.871 0.476
0.815 0.994 0.784
0.826 0.174 0.049
0.871 0.774 0.524
0.872 0.128 0.196
0.913 0.525 0.171
0.975 0.587 0.329
0.994 0.815 0.216
0.181 0.819 0.554
0.319 0.681 0.054
0.681 0.319 0.946
0.819 0.181 0.446
0.054 0.946 0.193
0.093 0.407 0.750
0.118 0.882 0.906
0.248 0.248 0.500
0.252 0.252 0.000
0.382 0.618 0.406
0.407 0.093 0.250
0.446 0.554 0.693
0.554 0.446 0.307
0.593 0.907 0.750
0.618 0.382 0.594
0.748 0.748 0.000
0.752 0.752 0.500
0.882 0.118 0.094
0.907 0.593 0.250
0.946 0.054 0.807
```

---

Entry 9:
MgH12I8O6: relaxed, PBEsol.

```
MgH12I8O6
1.0
7.392 0.000 0.000
1.925 8.712 0.000
3.435 3.538 7.866
Mg H I O
1 12 8 6
direct
0.000 0.000 0.000
0.080 0.317 0.755
0.144 0.772 0.855
0.198 0.190 0.669
0.227 0.934 0.203
0.290 0.108 0.039
0.294 0.765 0.945
0.706 0.235 0.055
0.710 0.892 0.961
0.773 0.066 0.797
0.802 0.810 0.331
0.856 0.228 0.145
0.920 0.683 0.245
0.028 0.362 0.258
0.272 0.635 0.425
0.358 0.107 0.427
0.456 0.379 0.887
0.544 0.621 0.113
0.642 0.893 0.573
0.728 0.365 0.575
0.972 0.638 0.742
0.125 0.198 0.779
0.178 0.827 0.912
0.204 0.014 0.094
0.796 0.986 0.906
0.822 0.173 0.088
0.875 0.802 0.221
```

---

Entry 10:
MgSbHI2: relaxed, PBEsol.

```
MgSbHI2
1.0
5.552 0.000 0.000
0.000 5.552 0.000
0.000 0.000 3.923
Mg Sb H I
1 1 1 2
direct
0.000 0.000 0.000
0.500 0.500 0.000
0.500 0.500 0.500
0.000 0.500 0.500
0.500 0.000 0.500
```

---

Entry 11:
MgTe2HI: relaxed, PBEsol.

```
MgTe2HI
1.0
5.439 0.000 0.000
0.000 5.439 0.000
0.000 0.000 5.716
Mg Te H I
1 2 1 1
direct
0.000 0.000 0.000
0.000 0.500 0.000
0.500 0.000 0.000
0.500 0.500 0.500
0.000 0.000 0.500
```

---

Entry 12:
Mg2ZrHI: relaxed, PBEsol.

```
Mg2ZrHI
1.0
5.128 0.000 0.000
0.000 5.128 0.000
0.000 0.000 3.784
Mg Zr H I
2 1 1 1
direct
0.000 0.500 0.000
0.500 0.000 0.000
0.000 0.000 0.500
0.000 0.000 0.000
0.500 0.500 0.500
```

---

Entry 13:
MnHI2N: relaxed, PBEsol.

```
MnHI2N
1.0
5.644 0.000 0.000
0.000 5.644 0.000
0.000 0.000 2.921
Mn H I N
1 1 2 1
direct
0.000 0.000 0.000
0.500 0.500 0.500
0.000 0.500 0.500
0.500 0.000 0.500
0.500 0.500 0.000
```

---

no.,energy (eV/atom)
1,-4.96
2,-4.29
3,-2.86
4,-2.52
5,-3.19
6,-4.83
7,-5.02
8,-4.79
9,-4.08
10,-2.50
11,-2.20
12,-3.44
13,-3.86